Compound: Pu2P2H2Pd5
Source: the Alexandria database
Functional: GGA-PBE
Structure: optimized geometry

Calculated values
Calculated total energy (Ry per atom): -0.50933
Crystal system: tetragonal
Symmetry: I4/mmm (139)

Unit cell a=3.9904 b=3.9904 c=11.2509 alpha=100.21 beta=100.21 gamma=90.00
With the nearest neighbours (Å) after each atom.
Positions (direct):
Pu (0.2028, 0.2028, 0.4057)  1 H 2.62, 1 P 2.86
Pu (0.7972, 0.7972, 0.5943)  1 H 2.62, 1 P 2.86
P (0.3341, 0.3341, 0.6681)  4 Pd 2.55
P (0.6659, 0.6659, 0.3319)  4 Pd 2.55
H (0.0827, 0.0827, 0.1653)  5 Pd 1.80-2.01
H (0.9173, 0.9173, 0.8347)  5 Pd 1.80-2.01
Pd (0.0000, 0.0000, 0.0000)  2 H 1.80
Pd (0.5932, 0.0932, 0.1863)  2 H 2.01
Pd (0.9068, 0.4068, 0.8137)  2 H 2.01
Pd (0.0932, 0.5932, 0.1863)  2 H 2.01
Pd (0.4068, 0.9068, 0.8137)  2 H 2.01

---

Compound: Th2Fe2Si2C
Source: the Alexandria database
Functional: GGA-PBE
Structure: optimized geometry

Calculated values
Crystal system: monoclinic
Symmetry: C2/m (12)
E_form (uncorrected) (eV/f.u.): -4.4

Unit cell a=5.8110 b=5.8110 c=7.0543 alpha=53.12 beta=53.12 gamma=40.20
With the nearest neighbours (Å) after each atom.
Positions (direct):
C (0.0000, 0.0000, 0.0000)  2 Fe 1.81
Si (0.8255, 0.8255, 0.7266)  3 Fe 2.33-2.34
Si (0.1745, 0.1745, 0.2734)  3 Fe 2.33-2.34
Fe (0.8067, 0.8067, 0.0762)  1 C 1.81
Fe (0.1933, 0.1933, 0.9238)  1 C 1.81
Th (0.4419, 0.4419, 0.2981)  2 C 2.67
Th (0.5581, 0.5581, 0.7019)  2 C 2.67

---

Compound: Tb2Cu15Si2
Source: the Alexandria database
Functional: GGA-PBE
Structure: optimized geometry

Calculated values
Crystal system: trigonal
Symmetry: R-3m (166)
E_form (uncorrected) (eV/f.u.): -2.7

Unit cell a=6.4670 b=6.4670 c=6.4670 alpha=83.01 beta=83.01 gamma=83.01
With the nearest neighbours (Å) after each atom.
Positions (direct):
Tb (0.3438, 0.3438, 0.3438)  18 Cu 3.01-3.32, 1 Si 3.08
Tb (0.6562, 0.6562, 0.6562)  18 Cu 3.01-3.32, 1 Si 3.08
Cu (0.5000, 0.0000, 0.0000)  8 Cu 2.46-2.47, 2 Si 2.62
Cu (0.0000, 0.0000, 0.5000)  8 Cu 2.46-2.47, 2 Si 2.62
Cu (0.0000, 0.5000, 0.0000)  8 Cu 2.46-2.47, 2 Si 2.62
Cu (0.0000, 0.6988, 0.3012)  8 Cu 2.46-2.59
Cu (0.6988, 0.3012, 0.0000)  8 Cu 2.46-2.59
Cu (0.3012, 0.0000, 0.6988)  8 Cu 2.46-2.59
Cu (0.3012, 0.6988, 0.0000)  8 Cu 2.46-2.59
Cu (0.6988, 0.0000, 0.3012)  8 Cu 2.46-2.59
Cu (0.0000, 0.3012, 0.6988)  8 Cu 2.46-2.59
Cu (0.1535, 0.6552, 0.6552)  8 Cu 2.47-2.59, 1 Si 2.67
Cu (0.6552, 0.6552, 0.1535)  8 Cu 2.47-2.59, 1 Si 2.67
Cu (0.6552, 0.1535, 0.6552)  8 Cu 2.47-2.59, 1 Si 2.67
Cu (0.8465, 0.3448, 0.3448)  8 Cu 2.47-2.59, 1 Si 2.67
Cu (0.3448, 0.3448, 0.8465)  8 Cu 2.47-2.59, 1 Si 2.67
Cu (0.3448, 0.8465, 0.3448)  8 Cu 2.47-2.59, 1 Si 2.67
Si (0.0971, 0.0971, 0.0971)  1 Si 2.43, 6 Cu 2.62-2.67
Si (0.9029, 0.9029, 0.9029)  1 Si 2.43, 6 Cu 2.62-2.67

---

Compound: Y2BeAsAu
Source: the Alexandria database
Functional: GGA-PBE
Structure: optimized geometry

Calculated values
Crystal system: tetragonal
Symmetry: P4/mmm (123)
Energy of formation from the pure elements (meV per atom): -370

Unit cell a=5.1830 b=4.2167 c=5.1830 alpha=90.00 beta=90.00 gamma=90.00
With the nearest neighbours (Å) after each atom.
Positions (direct):
Y (0.0000, 0.0000, 0.5000)  2 Be 2.59
Y (0.5000, 0.0000, 0.0000)  2 Be 2.59
Be (0.0000, 0.0000, 0.0000)  2 Au 2.11
As (0.5000, 0.5000, 0.5000)  8 Y 3.34, 4 Au 3.66
Au (0.0000, 0.5000, 0.0000)  2 Be 2.11

---

Compound: YZrSi2
Source: the Alexandria database
Functional: GGA-PBE
Structure: optimized geometry

Calculated values
Polymorph energy (0 for the lowest one) (eV/f.u.): 0.000
Crystal system: orthorhombic
Symmetry: Pmc2_1 (26)
E_form (uncorrected) (eV/f.u.): -3.3

Unit cell a=3.7869 b=5.5315 c=7.4851 alpha=90.00 beta=90.00 gamma=90.00
With the nearest neighbours (Å) after each atom.
Positions (direct):
Y (0.5000, 0.3717, 0.3224)  7 Si 2.85-3.08
Y (0.5000, 0.6283, 0.8224)  7 Si 2.85-3.08
Zr (0.0000, 0.1270, 0.6804)  7 Si 2.82-3.00
Zr (0.0000, 0.8730, 0.1804)  7 Si 2.82-3.00
Si (0.0000, 0.6267, 0.5374)  2 Si 2.46
Si (0.0000, 0.3733, 0.0374)  2 Si 2.46
Si (0.5000, 0.8904, 0.4597)  2 Si 2.46
Si (0.5000, 0.1096, 0.9597)  2 Si 2.46

---

Compound: YNp2Tl3Se6
Source: the Alexandria database
Functional: GGA-PBE
Structure: optimized geometry

Calculated values
Crystal system: monoclinic
Symmetry: C2/m (12)
E_form (uncorrected) (eV/f.u.): -12.7

Unit cell a=7.2971 b=7.2971 c=8.1405 alpha=98.59 beta=98.59 gamma=119.99
With the nearest neighbours (Å) after each atom.
Positions (direct):
Y (0.0000, 0.0000, 0.0000)  6 Se 2.90
Np (0.3333, 0.6667, 0.0000)  6 Se 2.91
Np (0.6667, 0.3333, 0.0000)  6 Se 2.91
Tl (0.1668, 0.8332, 0.5000)  6 Se 3.35
Tl (0.8332, 0.1668, 0.5000)  6 Se 3.35
Tl (0.5000, 0.5000, 0.5000)  6 Se 3.35
Se (0.9320, 0.5992, 0.7959)  1 Y 2.90, 2 Np 2.91
Se (0.7353, 0.7353, 0.2043)  1 Y 2.90, 2 Np 2.91
Se (0.0680, 0.4008, 0.2041)  1 Y 2.90, 2 Np 2.91
Se (0.5992, 0.9320, 0.7959)  1 Y 2.90, 2 Np 2.91
Se (0.2647, 0.2647, 0.7957)  1 Y 2.90, 2 Np 2.91
Se (0.4008, 0.0680, 0.2041)  1 Y 2.90, 2 Np 2.91